No. 1
Er3GeS2 | GGA-PBE | optimized geometry

Unit cell a=3.982 b=5.599 c=11.842 alpha=90.00 beta=90.00 gamma=90.00
Space group Immm (No. 71)
Unique sites:
Er: 0.000 0.000 0.000 [2 per cell]
Er: 0.000 0.000 0.333 [4 per cell]
Ge: 0.000 0.500 0.000 [2 per cell]
S: 0.000 0.500 0.333 [4 per cell]

Values from the calculation:
The calculation puts the energy above the lowest structure with this stoichiometry at 0 meV per atom.

=====

No. 2
Er5GeS5 | GGA-PBE | optimized geometry

Unit cell a=12.427 b=5.530 c=7.852 alpha=90.00 beta=108.35 gamma=90.00
Space group C2/m (No. 12)
Unique sites:
Er: 0.000 0.000 0.000 [2 per cell]
Er: 0.161 0.500 0.824 [4 per cell]
Er: 0.165 0.500 0.337 [4 per cell]
Ge: 0.000 0.500 0.000 [2 per cell]
S: 0.000 0.500 0.500 [2 per cell]
S: 0.171 0.000 0.333 [4 per cell]
S: 0.172 0.000 0.841 [4 per cell]

=====

Calculated ΔE_f (raw), -160.49 -179.65 kJ per mole of atoms (same order as the records).
Calculated DOS at the Fermi energy, 1.57 2.21 states/eV/f.u. (same order as the records).